{"formula": "PrTmZr2", "functional": "PBE-GGA", "state": "optimized geometry", "cell": [[1.683, 0.972, 11.040], [-1.683, 0.972, 11.040], [0.000, -1.944, 11.040]], "species": ["Pr", "Tm", "Zr", "Zr"], "fractional_positions": [[0.000, 0.000, 0.000], [0.500, 0.500, 0.500], [0.248, 0.248, 0.248], [0.752, 0.752, 0.752]], "e_form_mev_per_atom": 168.3, "n_ef_per_ev_cell": 5.74, "e_above_lowest_polymorph_mev_per_atom": 10}